1.
This record from Alexandria via LeMat-Bulk describes crystalline Pr3DyN4 at its relaxed geometry. The functional is PBE-GGA.

```
Pr3DyN4
1.0
6.302 0.000 0.000
0.000 7.285 0.000
-2.098 0.000 5.941
Pr Dy N
6 2 8
Direct
0.000 0.124 0.250
0.000 0.371 0.750
0.000 0.629 0.250
0.000 0.876 0.750
0.500 0.371 0.250
0.500 0.629 0.750
0.500 0.125 0.750
0.500 0.875 0.250
0.254 0.364 0.507
0.254 0.636 0.007
0.259 0.124 0.997
0.259 0.876 0.497
0.741 0.124 0.503
0.741 0.876 0.003
0.746 0.364 0.993
0.746 0.636 0.493
```

Values from the calculation:
D(E_F) (states/eV/f.u.): 0.76
Space group: P2/c, No. 13


2.
This record from Alexandria via LeMat-Bulk describes crystalline PrDyN at its relaxed geometry. The functional is PBE-GGA.

```
PrDyN
1.0
3.474 0.000 0.000
0.000 3.474 0.000
0.000 0.000 5.273
Pr Dy N
1 1 1
Direct
0.000 0.000 0.000
0.500 0.500 0.500
0.000 0.000 0.500
```

Values from the calculation:
D(E_F) (states/eV/f.u.): 2.08
Space group: P4/mmm, No. 123


3.
This record from Alexandria via LeMat-Bulk describes crystalline PrDyPu2N4 at its relaxed geometry. The functional is PBE-GGA.

```
PrDyPu2N4
1.0
6.075 0.000 0.000
0.000 3.527 0.000
-2.046 0.000 5.772
Pr Dy Pu N
1 1 2 4
Direct
0.000 0.000 0.000
0.000 0.500 0.500
0.500 0.000 0.500
0.500 0.500 0.000
0.265 0.000 0.745
0.273 0.500 0.269
0.727 0.500 0.731
0.735 0.000 0.255
```

Values from the calculation:
D(E_F) (states/eV/f.u.): 13.15
Space group: P2/m, No. 10


4.
This record from Alexandria via LeMat-Bulk describes crystalline Pr2DyPuN4 at its relaxed geometry. The functional is PBE-GGA.

```
Pr2DyPuN4
1.0
6.147 0.000 0.000
0.000 3.573 0.000
-2.032 0.000 5.856
Pr Dy Pu N
2 1 1 4
Direct
0.000 0.000 0.000
0.500 0.500 0.000
0.000 0.500 0.500
0.500 0.000 0.500
0.251 0.000 0.728
0.265 0.500 0.277
0.735 0.500 0.723
0.749 0.000 0.272
```

Values from the calculation:
D(E_F) (states/eV/f.u.): 7.82
Space group: P2/m, No. 10


5.
This record from Alexandria via LeMat-Bulk describes crystalline PrDyPuN3 at its relaxed geometry. The functional is PBE-GGA.

```
PrDyPuN3
1.0
7.150 0.000 0.000
0.000 3.588 0.000
-2.631 0.000 9.084
Pr Dy Pu N
2 2 2 6
Direct
0.089 0.250 0.368
0.911 0.750 0.632
0.439 0.750 0.639
0.561 0.250 0.361
0.292 0.250 0.910
0.708 0.750 0.090
0.190 0.250 0.644
0.330 0.750 0.382
0.457 0.750 0.889
0.543 0.250 0.111
0.670 0.250 0.618
0.810 0.750 0.356
```

Values from the calculation:
D(E_F) (states/eV/f.u.): 7.61
Space group: P2_1/m, No. 11


6.
This record from Alexandria via LeMat-Bulk describes crystalline PrDy2RhN4 at its relaxed geometry. The functional is PBE-GGA.

```
PrDy2RhN4
1.0
1.723 -5.900 0.000
1.723 5.900 0.000
0.000 0.000 11.566
Pr Dy Rh N
2 4 2 8
Direct
0.114 0.886 0.750
0.886 0.114 0.250
0.370 0.630 0.545
0.370 0.630 0.955
0.630 0.370 0.045
0.630 0.370 0.455
0.148 0.852 0.250
0.852 0.148 0.750
0.000 0.000 0.000
0.000 0.000 0.500
0.270 0.730 0.126
0.270 0.730 0.374
0.449 0.551 0.750
0.551 0.449 0.250
0.730 0.270 0.626
0.730 0.270 0.874
```

Values from the calculation:
D(E_F) (states/eV/f.u.): 2.60
Space group: Cmcm, No. 63


7.
This record from Alexandria via LeMat-Bulk describes crystalline PrDy2RuN4 at its relaxed geometry. The functional is PBE-GGA.

```
PrDy2RuN4
1.0
1.728 -5.860 0.000
1.728 5.860 0.000
0.000 0.000 11.636
Pr Dy Ru N
2 4 2 8
Direct
0.117 0.883 0.750
0.883 0.117 0.250
0.369 0.631 0.543
0.369 0.631 0.957
0.631 0.369 0.043
0.631 0.369 0.457
0.146 0.854 0.250
0.854 0.146 0.750
0.000 0.000 0.000
0.000 0.000 0.500
0.267 0.733 0.127
0.267 0.733 0.373
0.439 0.561 0.750
0.561 0.439 0.250
0.733 0.267 0.627
0.733 0.267 0.873
```

Values from the calculation:
D(E_F) (states/eV/f.u.): 2.74
Space group: Cmcm, No. 63


8.
This record from Alexandria via LeMat-Bulk describes crystalline Pr2Dy4Sb3N2 at its relaxed geometry. The functional is PBE-GGA.

```
Pr2Dy4Sb3N2
1.0
-2.337 2.337 12.811
2.337 -2.337 12.811
2.337 2.337 -12.811
Pr Dy Sb N
2 4 3 2
Direct
0.194 0.194 0.000
0.806 0.806 0.000
0.082 0.582 0.500
0.418 0.918 0.500
0.582 0.082 0.500
0.918 0.418 0.500
0.325 0.325 0.000
0.500 0.500 0.000
0.675 0.675 0.000
0.097 0.097 0.000
0.903 0.903 0.000
```

Values from the calculation:
D(E_F) (states/eV/f.u.): 5.93
Space group: I4/mmm, No. 139


9.
This record from Alexandria via LeMat-Bulk describes crystalline Pr4Dy2Sb3N2 at its relaxed geometry. The functional is PBE-GGA.

```
Pr4Dy2Sb3N2
1.0
-2.414 2.414 12.893
2.414 -2.414 12.893
2.414 2.414 -12.893
Pr Dy Sb N
4 2 3 2
Direct
0.084 0.584 0.500
0.416 0.916 0.500
0.584 0.084 0.500
0.916 0.416 0.500
0.193 0.193 0.000
0.807 0.807 0.000
0.318 0.318 0.000
0.500 0.500 0.000
0.682 0.682 0.000
0.110 0.110 0.000
0.890 0.890 0.000
```

Values from the calculation:
D(E_F) (states/eV/f.u.): 3.71
Space group: I4/mmm, No. 139


10.
This record from Alexandria via LeMat-Bulk describes crystalline PrSmDyN3 at its relaxed geometry. The functional is PBE-GGA.

```
PrSmDyN3
1.0
6.137 0.000 0.000
0.000 3.565 0.000
-1.878 0.000 9.035
Pr Sm Dy N
2 2 2 6
Direct
0.153 0.250 0.196
0.847 0.750 0.804
0.269 0.750 0.546
0.731 0.250 0.454
0.351 0.250 0.861
0.649 0.750 0.139
0.041 0.250 0.672
0.256 0.750 0.990
0.463 0.750 0.343
0.537 0.250 0.657
0.744 0.250 0.010
0.959 0.750 0.328
```

Values from the calculation:
Space group: P2_1/m, No. 11


11.
This record from Alexandria via LeMat-Bulk describes crystalline PrSmDy2N4 at its relaxed geometry. The functional is PBE-GGA.

```
PrSmDy2N4
1.0
6.159 0.000 0.000
0.000 3.558 0.000
-2.048 0.000 5.815
Pr Sm Dy N
1 1 2 4
Direct
0.000 0.000 0.000
0.500 0.500 0.000
0.000 0.500 0.500
0.500 0.000 0.500
0.250 0.000 0.741
0.257 0.500 0.261
0.743 0.500 0.739
0.750 0.000 0.259
```

Values from the calculation:
D(E_F) (states/eV/f.u.): 0.29
Space group: P2/m, No. 10


12.
This record from Alexandria via LeMat-Bulk describes crystalline PrDy2SnN4 at its relaxed geometry. The functional is PBE-GGA.

```
PrDy2SnN4
1.0
1.793 -5.919 0.000
1.793 5.919 0.000
0.000 0.000 12.075
Pr Dy Sn N
2 4 2 8
Direct
0.113 0.887 0.750
0.887 0.113 0.250
0.371 0.629 0.536
0.371 0.629 0.964
0.629 0.371 0.036
0.629 0.371 0.464
0.149 0.851 0.250
0.851 0.149 0.750
0.000 0.000 0.000
0.000 0.000 0.500
0.266 0.734 0.119
0.266 0.734 0.381
0.447 0.553 0.750
0.553 0.447 0.250
0.734 0.266 0.619
0.734 0.266 0.881
```

Values from the calculation:
D(E_F) (states/eV/f.u.): 1.43
Space group: Cmcm, No. 63


no.,raw formation energy (eV per atom)
1,-1.367
2,-0.903
3,-1.370
4,-1.375
5,-1.162
6,-0.959
7,-1.010
8,-1.208
9,-1.102
10,-1.338
11,-1.523
12,-0.880